Entry 1:
SiHgGeP2 at its PBEsol-relaxed geometry, computed with meta-GGA SCAN.

Cell and atoms, written as extended XYZ:
```
5
Lattice="4.528 0.000 0.000 0.000 4.528 0.000 0.000 0.000 4.955" Properties=species:S:1:pos:R:3 pbc="T T T"
P 0.000 2.264 0.000
P 2.264 0.000 0.000
Ge 2.264 2.264 2.477
Si 0.000 0.000 0.000
Hg 0.000 0.000 2.477
```

Entry 2:
HgGeTe2Pd at its PBEsol-relaxed geometry, computed with meta-GGA SCAN.

Cell and atoms, written as extended XYZ:
```
5
Lattice="-4.322 1.300 -0.951 0.488 -2.020 -4.982 -1.821 -4.769 1.755" Properties=species:S:1:pos:R:3 pbc="T T T"
Ge -2.161 0.650 -0.475
Te -0.910 -2.384 0.878
Te 0.244 -1.010 -2.491
Hg -2.828 -2.744 -2.088
Pd 0.000 0.000 0.000
```

Entry 3:
Pm2HgGe at its PBEsol-relaxed geometry, computed with meta-GGA SCAN.

Computed properties:
* formation energy: -706 meV per atom

Cell and atoms, written as extended XYZ:
```
4
Lattice="-1.837 -2.870 -3.904 -3.239 -3.927 0.972 -4.988 0.359 -1.356" Properties=species:S:1:pos:R:3 pbc="T T T"
Ge -5.032 -3.219 -2.144
Hg 0.000 0.000 0.000
Pm -2.516 -1.609 -1.072
Pm -7.548 -4.828 -3.216
```

Entry 4:
Pu2HgGe at its PBEsol-relaxed geometry, computed with meta-GGA SCAN.

Computed properties:
* formation energy: -119 meV per atom

Cell and atoms, written as extended XYZ:
```
4
Lattice="5.070 0.000 0.000 2.535 4.391 0.000 2.535 1.464 4.140" Properties=species:S:1:pos:R:3 pbc="T T T"
Ge 5.070 2.927 2.070
Hg 0.000 0.000 0.000
Pu 7.606 4.391 3.105
Pu 2.535 1.464 1.035
```

Entry 5:
HgGe3Rh at its PBEsol-relaxed geometry, computed with meta-GGA SCAN.

Computed properties:
* formation energy: 1421 meV per atom

Cell and atoms, written as extended XYZ:
```
5
Lattice="-4.472 -1.657 -1.366 2.067 -4.177 -1.701 -0.582 -2.102 4.455" Properties=species:S:1:pos:R:3 pbc="T T T"
Ge 1.033 -2.088 -0.850
Ge -0.291 -1.051 2.228
Ge -2.236 -0.828 -0.683
Rh -1.494 -3.968 0.694
Hg 0.000 0.000 0.000
```

Entry 6:
Hg2GeTeRh at its PBEsol-relaxed geometry, computed with meta-GGA SCAN.

Cell and atoms, written as extended XYZ:
```
5
Lattice="4.988 0.000 0.000 0.000 5.107 0.000 0.000 0.000 5.107" Properties=species:S:1:pos:R:3 pbc="T T T"
Ge 2.494 2.554 2.554
Te 2.494 0.000 0.000
Rh 0.000 0.000 0.000
Hg 0.000 0.000 2.554
Hg 0.000 2.554 0.000
```

Entry 7:
HgGeS3 at its PBEsol-relaxed geometry, computed with meta-GGA SCAN.

Cell and atoms, written as extended XYZ:
```
5
Lattice="4.870 0.000 0.000 0.000 4.870 0.000 0.000 0.000 4.870" Properties=species:S:1:pos:R:3 pbc="T T T"
S 0.000 2.435 0.000
S 0.000 0.000 2.435
S 2.435 0.000 0.000
Ge 2.435 2.435 2.435
Hg 0.000 0.000 0.000
```

Entry 8:
Hg3GeS at its PBEsol-relaxed geometry, computed with meta-GGA SCAN.

Cell and atoms, written as extended XYZ:
```
5
Lattice="5.090 0.000 0.000 0.000 5.090 0.000 0.000 0.000 5.090" Properties=species:S:1:pos:R:3 pbc="T T T"
S 2.545 2.545 2.545
Ge 0.000 0.000 0.000
Hg 0.000 2.545 0.000
Hg 0.000 0.000 2.545
Hg 2.545 0.000 0.000
```

Entry 9:
HgGeS2 at its PBEsol-relaxed geometry, computed with meta-GGA SCAN.

Cell and atoms, written as extended XYZ:
```
4
Lattice="3.846 0.000 0.000 1.923 3.331 0.000 1.923 1.110 7.521" Properties=species:S:1:pos:R:3 pbc="T T T"
S 5.769 3.331 2.268
S 1.923 1.110 5.252
Ge 0.000 0.000 0.000
Hg 3.846 2.221 3.760
```

Entry 10:
Zn2HgGeS at its PBEsol-relaxed geometry, computed with meta-GGA SCAN.

Cell and atoms, written as extended XYZ:
```
5
Lattice="4.830 0.000 0.000 0.000 4.830 0.000 0.000 0.000 5.250" Properties=species:S:1:pos:R:3 pbc="T T T"
S 0.000 0.000 2.625
Zn 0.000 2.415 0.000
Zn 2.415 0.000 0.000
Ge 2.415 2.415 2.625
Hg 0.000 0.000 0.000
```

Entry 11:
HgGeSb2 at its PBEsol-relaxed geometry, computed with meta-GGA SCAN.

Cell and atoms, written as extended XYZ:
```
8
Lattice="6.339 0.000 0.000 0.000 6.339 0.000 -3.169 -3.169 6.176" Properties=species:S:1:pos:R:3 pbc="T T T"
Sb 1.682 4.754 1.544
Sb 4.657 1.585 1.544
Sb -1.585 -1.487 4.632
Sb 1.585 1.487 4.632
Ge 3.169 0.000 3.088
Ge 3.169 3.169 0.000
Hg 0.000 3.169 3.088
Hg 0.000 0.000 0.000
```

Entry 12:
Sc2HgGe2 at its PBEsol-relaxed geometry, computed with meta-GGA SCAN.

Computed properties:
* formation energy: -684 meV per atom

Cell and atoms, written as extended XYZ:
```
10
Lattice="-2.683 -1.441 -2.412 4.559 0.313 -5.260 2.145 -6.463 1.475" Properties=species:S:1:pos:R:3 pbc="T T T"
Sc 0.910 -5.034 -1.134
Sc 3.508 -5.835 -3.545
Sc 3.111 -2.557 -5.062
Sc 0.513 -1.756 -2.651
Ge 3.592 -5.543 -0.685
Ge 5.332 -3.760 -3.686
Ge 3.112 -0.607 -3.100
Ge 1.372 -2.390 -0.099
Hg 0.000 0.000 0.000
Hg 3.352 -3.075 -1.892
```

E
In order: -22.832; -38.663; -44.513; -77.003; -30.419; -44.847; -22.394; -46.260; -26.269; -23.990; -40.393; -27.647
Unit: eV/atom